(1)
Material: Sr2ZnAs
Method: DFT, PBE-GGA
State: optimized geometry

Summary:
**Space-group type**: Pmm2
**Total magnetization**: 0.00 μB/f.u.
**Fermi-level density of states**: 1.22 states/eV/f.u.
**Calculated total energy**: -2.9563 eV per atom
**Energy of formation**: -0.635 eV per atom

Cell: 5.216 4.187 5.218 Å, 90.00 90.00 90.00°
Fractional coordinates of all 4 atoms:
Sr (0.000, 0.125, 0.876)
Sr (0.500, 0.125, 0.374)
As (0.500, 0.625, 0.873)
Zn (0.000, 0.625, 0.377)

(2)
Material: PmGaCu2
Method: DFT, PBE-GGA
State: optimized geometry

Summary:
**Space-group type**: Fm-3m
**Total magnetization**: 0.00 μB/f.u.
**Fermi-level density of states**: 2.39 states/eV/f.u.
**Calculated total energy**: -4.2836 eV per atom
**Energy of formation**: -0.291 eV per atom

Cell: 4.640 4.640 4.640 Å, 60.00 60.00 60.00°
Fractional coordinates of all 4 atoms:
Cu (0.750, 0.750, 0.750)
Cu (0.250, 0.250, 0.250)
Pm (0.000, 0.000, 0.000)
Ga (0.500, 0.500, 0.500)

(3)
Material: ZnNi2Br
Method: DFT, PBE-GGA
State: optimized geometry

Summary:
**Formation energy from raw total energies**: 180 meV per atom
**Space-group type**: Pm
**Total magnetization**: 0.65 μB/f.u.
**Fermi-level density of states**: 3.27 states/eV/f.u.
**Calculated total energy**: -3.4470 eV per atom

Cell: 3.105 3.151 6.834 Å, 76.71 90.00 90.00°
Last column: magnetic moment on the atom in μB.
Fractional coordinates of all 4 atoms:
Br (0.500, 0.923, 0.782)  0.06
Ni (0.500, 0.192, 0.240)  0.21
Ni (0.000, 0.784, 0.054)  0.41
Zn (0.000, 0.601, 0.423)  -0.01

(4)
Material: ZnHgPt
Method: DFT, PBE-GGA
State: optimized geometry

Summary:
**Space-group type**: P-6m2
**Total magnetization**: 0.00 μB/f.u.
**Fermi-level density of states**: 1.58 states/eV/f.u.
**Calculated total energy**: -2.6421 eV per atom
**Energy of formation**: -0.103 eV per atom

Cell: 4.467 4.467 3.012 Å, 90.00 90.00 120.00°
Fractional coordinates of all 3 atoms:
Zn (0.333, 0.667, 0.501)
Hg (0.000, 0.000, 0.000)
Pt (0.667, 0.333, 0.499)

(5)
Material: Ba2Ni3Sb4
Method: DFT, PBE-GGA
State: optimized geometry

Summary:
**Formation energy from raw total energies**: -468 meV per atom
**Space-group type**: Fmmm
**Total magnetization**: 0.00 μB/f.u.
**Fermi-level density of states**: 4.43 states/eV/f.u.
**Calculated total energy**: -4.6544 eV per atom

Cell: 6.179 6.179 7.939 Å, 101.26 101.26 119.90°
Fractional coordinates of all 9 atoms:
Ni (0.000, 0.500, 0.000)
Ni (0.500, 0.000, 0.000)
Ni (0.000, 0.000, 0.000)
Sb (0.712, 0.041, 0.752)
Sb (0.959, 0.288, 0.248)
Sb (0.041, 0.712, 0.752)
Sb (0.288, 0.959, 0.248)
Ba (0.643, 0.643, 0.286)
Ba (0.357, 0.357, 0.714)

(6)
Material: NdYZnRh
Method: DFT, PBE-GGA
State: optimized geometry

Summary:
**Space-group type**: Amm2
**Total magnetization**: 0.00 μB/f.u.
**Fermi-level density of states**: 3.22 states/eV/f.u.
**Calculated total energy**: -5.5123 eV per atom
**Energy of formation**: -0.548 eV per atom

Cell: 3.944 4.444 5.725 Å, 90.00 110.15 90.00°
Fractional coordinates of all 4 atoms:
Zn (0.570, 0.500, 0.139)
Y (0.862, 0.500, 0.724)
Rh (0.426, 0.000, 0.852)
Nd (0.142, 0.000, 0.284)

| no. | volume (Å³ per cell) |
| --- | --- |
| 1 | 113.97 |
| 2 | 70.66 |
| 3 | 65.07 |
| 4 | 52.05 |
| 5 | 242.00 |
| 6 | 94.20 |